Record 1
Zr4CuSb7 after structural relaxation. Source: Alexandria, functional GGA-PBE.

Calculated values
magnetization = 0.000 μB/atom

Unit cell a=11.2603 b=11.2603 c=8.8037 alpha=90.00 beta=90.00 gamma=90.00
With the nearest neighbours (Å) after each atom.
Atoms (fractional coordinates):
Sb: 0.3751 0.3572 0.5578  1 Cu 2.61
Sb: 0.8751 0.1428 0.5578  1 Cu 2.61
Sb: 0.5027 0.7490 0.1721  5 Zr 2.99-3.11
Sb: 0.3572 0.6249 0.5578  1 Cu 2.61
Sb: 0.7529 0.2529 0.9428  5 Zr 3.00-3.09
Sb: 0.0000 0.5000 0.9333  5 Zr 2.99-3.08
Sb: 0.6428 0.3751 0.5578  1 Cu 2.61
Sb: 0.1076 0.3924 0.5572  2 Cu 2.64
Sb: 0.0027 0.7510 0.1721  5 Zr 2.99-3.11
Sb: 0.8572 0.8751 0.5578  1 Cu 2.61
Sb: 0.8924 0.6076 0.5572  2 Cu 2.64
Sb: 0.7510 0.9973 0.1721  5 Zr 2.99-3.11
Sb: 0.6249 0.6428 0.5578  1 Cu 2.61
Sb: 0.5000 0.5000 0.9485  5 Zr 3.03-3.11
Sb: 0.1249 0.8572 0.5578  1 Cu 2.61
Sb: 0.2510 0.5027 0.1721  5 Zr 2.99-3.11
Sb: 0.9973 0.2490 0.1721  5 Zr 2.99-3.11
Sb: 0.4973 0.2510 0.1721  5 Zr 2.99-3.11
Sb: 0.7471 0.7529 0.9428  5 Zr 3.00-3.09
Sb: 0.2471 0.7471 0.9428  5 Zr 3.00-3.09
Sb: 0.0000 0.0000 0.9485  5 Zr 3.03-3.11
Sb: 0.1428 0.1249 0.5578  1 Cu 2.61
Sb: 0.2529 0.2471 0.9428  5 Zr 3.00-3.09
Sb: 0.3924 0.8924 0.5572  2 Cu 2.64
Sb: 0.7490 0.4973 0.1721  5 Zr 2.99-3.11
Sb: 0.6076 0.1076 0.5572  2 Cu 2.64
Sb: 0.2490 0.0027 0.1721  5 Zr 2.99-3.11
Sb: 0.5000 0.0000 0.9333  5 Zr 2.99-3.08
Cu: 0.1258 0.6258 0.5568  4 Sb 2.61-2.64
Cu: 0.6258 0.8742 0.5568  4 Sb 2.61-2.64
Cu: 0.8742 0.3742 0.5568  4 Sb 2.61-2.64
Cu: 0.3742 0.1258 0.5568  4 Sb 2.61-2.64
Zr: 0.7538 0.7462 0.2938  8 Sb 2.98-3.20, 1 Cu 3.09
Zr: 0.0000 0.5000 0.2837  7 Sb 2.96-3.08, 2 Cu 3.13
Zr: 0.0047 0.2496 0.8193  8 Sb 2.98-3.11, 1 Cu 3.08
Zr: 0.2496 0.9953 0.8193  8 Sb 2.98-3.11, 1 Cu 3.08
Zr: 0.2462 0.2538 0.2938  8 Sb 2.98-3.20, 1 Cu 3.09
Zr: 0.7496 0.5047 0.8193  8 Sb 2.98-3.11, 1 Cu 3.08
Zr: 0.2504 0.4953 0.8193  8 Sb 2.98-3.11, 1 Cu 3.08
Zr: 0.0000 0.0000 0.3019  9 Sb 3.03-3.11
Zr: 0.5000 0.0000 0.2837  7 Sb 2.96-3.08, 2 Cu 3.13
Zr: 0.5000 0.5000 0.3019  9 Sb 3.03-3.11
Zr: 0.5047 0.2504 0.8193  8 Sb 2.98-3.11, 1 Cu 3.08
Zr: 0.7462 0.2462 0.2938  8 Sb 2.98-3.20, 1 Cu 3.09
Zr: 0.2538 0.7538 0.2938  8 Sb 2.98-3.20, 1 Cu 3.09
Zr: 0.9953 0.7504 0.8193  8 Sb 2.98-3.11, 1 Cu 3.08
Zr: 0.4953 0.7496 0.8193  8 Sb 2.98-3.11, 1 Cu 3.08
Zr: 0.7504 0.0047 0.8193  8 Sb 2.98-3.11, 1 Cu 3.08

Record 2
ZrCu4Sb after structural relaxation. Source: Alexandria, functional GGA-PBE.

Calculated values
magnetization = 0.000 μB/atom

Unit cell a=5.0918 b=5.0918 c=5.0918 alpha=60.00 beta=60.00 gamma=60.00
With the nearest neighbours (Å) after each atom.
Atoms (fractional coordinates):
Sb: 0.7500 0.7500 0.7500  12 Cu 2.99, 4 Zr 3.12
Cu: 0.3744 0.8767 0.3744  6 Cu 2.53-2.56
Cu: 0.3744 0.3744 0.8767  6 Cu 2.53-2.56
Cu: 0.8767 0.3744 0.3744  6 Cu 2.53-2.56
Cu: 0.3744 0.3744 0.3744  6 Cu 2.53-2.56
Zr: 0.0000 0.0000 0.0000  12 Cu 2.98, 4 Sb 3.12

Record 3
Zr2Cu2Sb after structural relaxation. Source: Alexandria, functional GGA-PBE.

Calculated values
magnetization = 0.000 μB/atom

Unit cell a=7.7475 b=7.7475 c=3.3126 alpha=90.00 beta=90.00 gamma=90.00
With the nearest neighbours (Å) after each atom.
Atoms (fractional coordinates):
Zr: 0.3339 0.8339 0.0000  6 Cu 2.81-2.84, 2 Sb 2.89
Zr: 0.1661 0.3339 0.0000  6 Cu 2.81-2.84, 2 Sb 2.89
Zr: 0.8339 0.6661 0.0000  6 Cu 2.81-2.84, 2 Sb 2.89
Zr: 0.6661 0.1661 0.0000  6 Cu 2.81-2.84, 2 Sb 2.89
Cu: 0.8768 0.3768 0.5000  1 Cu 2.70, 6 Zr 2.81-2.84
Cu: 0.6232 0.8768 0.5000  1 Cu 2.70, 6 Zr 2.81-2.84
Cu: 0.3768 0.1232 0.5000  1 Cu 2.70, 6 Zr 2.81-2.84
Cu: 0.1232 0.6232 0.5000  1 Cu 2.70, 6 Zr 2.81-2.84
Sb: 0.5000 0.5000 0.0000  4 Zr 2.89
Sb: 0.0000 0.0000 0.0000  4 Zr 2.89

Record 4
Zr2CuSb2 after structural relaxation. Source: Alexandria, functional GGA-PBE.

Calculated values
magnetization = 0.000 μB/atom

Unit cell a=4.0931 b=4.0931 c=7.7872 alpha=74.76 beta=74.76 gamma=90.00
With the nearest neighbours (Å) after each atom.
Atoms (fractional coordinates):
Zr: 0.5979 0.5979 0.8041  1 Zr 2.83, 4 Sb 3.00
Zr: 0.4021 0.4021 0.1959  1 Zr 2.83, 4 Sb 3.00
Sb: 0.2500 0.7500 0.5000  4 Sb 2.89, 4 Zr 3.00
Sb: 0.7500 0.2500 0.5000  4 Sb 2.89, 4 Zr 3.00
Cu: 0.0000 0.0000 0.0000  8 Zr 3.22

For each record above, in turn, the calculated calculated volume values are 279.07 93.34 99.42 121.12 Å³/f.u..
For each record above, in turn, the calculated uncorrected formation energy values are -540 -33 -8 177 meV/atom.